1.
Computed, not measured: Hf3FePb after structural relaxation at the GGA-PBE level of DFT.

Lattice parameters (Å, degrees): 4.813 4.813 4.813 90.00 90.00 90.00
Atoms (fractional coordinates):
Hf: 0.000 0.000 0.500
Hf: 0.000 0.500 0.000
Hf: 0.500 0.000 0.000
Fe: 0.000 0.000 0.000
Pb: 0.500 0.500 0.500

Offset from the most stable computed form in eV/atom: 0.165
Fermi-level density of states in states/eV/cell: 6.10
Energy of formation in meV/atom: 108
Symmetry: Pm-3m

=====

2.
Computed, not measured: SiRu2 after structural relaxation at the GGA-PBE level of DFT.

Lattice parameters (Å, degrees): 4.732 4.732 4.732 105.54 105.54 117.67
Atoms (fractional coordinates):
Si: 0.250 0.250 0.000
Si: 0.750 0.750 0.000
Ru: 0.159 0.659 0.817
Ru: 0.341 0.159 0.500
Ru: 0.659 0.841 0.500
Ru: 0.841 0.341 0.183

Fermi-level density of states in states/eV/cell: 7.01
Formation energy from raw total energies in eV/atom: -0.286
Symmetry: I4/mcm

=====

3.
Computed, not measured: AcLaTbNd after structural relaxation at the GGA-PBE level of DFT.

Lattice parameters (Å, degrees): 5.964 5.964 5.964 60.00 60.00 60.00
Atoms (fractional coordinates):
Ac: 0.000 0.000 0.000
La: 0.500 0.500 0.500
Tb: 0.250 0.250 0.250
Nd: 0.750 0.750 0.750

Fermi-level density of states in states/eV/cell: 8.54
Energy of formation in meV/atom: 115
Symmetry: F-43m

=====

4.
Computed, not measured: KY2AgRh after structural relaxation at the GGA-PBE level of DFT.

Lattice parameters (Å, degrees): 5.268 5.268 6.078 90.00 90.00 90.00
Atoms (fractional coordinates):
K: 0.000 0.000 0.000
Y: 0.000 0.500 0.500
Y: 0.500 0.000 0.500
Ag: 0.500 0.500 0.000
Rh: 0.000 0.000 0.500

Fermi-level density of states in states/eV/cell: 3.89
Energy of formation in meV/atom: 133
Symmetry: P4/mmm

=====

5.
Computed, not measured: Y2HfScH after structural relaxation at the GGA-PBE level of DFT.

Lattice parameters (Å, degrees): 4.789 4.789 4.694 90.00 90.00 90.00
Atoms (fractional coordinates):
Y: 0.000 0.500 0.000
Y: 0.500 0.000 0.000
Hf: 0.000 0.000 0.500
Sc: 0.500 0.500 0.500
H: 0.500 0.500 0.000

Offset from the most stable computed form in eV/atom: 0.000
Fermi-level density of states in states/eV/cell: 5.81
Symmetry: P4/mmm

=====

6.
Computed, not measured: TbSm2HoSe4 after structural relaxation at the GGA-PBE level of DFT.

Lattice parameters (Å, degrees): 7.116 4.068 7.241 90.00 108.79 90.00
Atoms (fractional coordinates):
Tb: 0.000 0.000 0.000
Sm: 0.000 0.500 0.500
Sm: 0.500 0.000 0.500
Ho: 0.500 0.500 0.000
Se: 0.249 0.500 0.241
Se: 0.255 0.000 0.760
Se: 0.745 0.000 0.240
Se: 0.751 0.500 0.759

Fermi-level density of states in states/eV/cell: 4.50
Formation energy from raw total energies in eV/atom: -1.783
Symmetry: P2/m

=====

7.
Computed, not measured: Sr2Hg8Bi after structural relaxation at the GGA-PBE level of DFT.

Lattice parameters (Å, degrees): 9.829 9.829 7.450 110.31 110.31 28.57
Atoms (fractional coordinates):
Sr: 0.221 0.221 0.206
Sr: 0.779 0.779 0.794
Hg: 0.028 0.028 0.213
Hg: 0.144 0.144 0.679
Hg: 0.357 0.357 0.629
Hg: 0.385 0.385 0.075
Hg: 0.615 0.615 0.925
Hg: 0.643 0.643 0.371
Hg: 0.856 0.856 0.321
Hg: 0.972 0.972 0.787
Bi: 0.500 0.500 0.500

Fermi-level density of states in states/eV/cell: 3.65
Energy of formation in meV/atom: -283
Symmetry: C2/m

=====

8.
Computed, not measured: Ti6CoC3 after structural relaxation at the GGA-PBE level of DFT.

Lattice parameters (Å, degrees): 9.301 3.109 9.391 90.00 113.08 90.00
Atoms (fractional coordinates):
Ti: 0.042 0.250 0.382
Ti: 0.088 0.250 0.935
Ti: 0.248 0.750 0.226
Ti: 0.258 0.250 0.709
Ti: 0.394 0.750 0.541
Ti: 0.457 0.250 0.121
Ti: 0.543 0.750 0.879
Ti: 0.606 0.250 0.459
Ti: 0.742 0.750 0.291
Ti: 0.752 0.250 0.774
Ti: 0.912 0.750 0.065
Ti: 0.958 0.750 0.618
Co: 0.291 0.750 0.925
Co: 0.709 0.250 0.075
C: 0.084 0.250 0.162
C: 0.161 0.750 0.537
C: 0.492 0.250 0.696
C: 0.508 0.750 0.304
C: 0.839 0.250 0.463
C: 0.916 0.750 0.838

Fermi-level density of states in states/eV/cell: 11.74
Energy of formation in meV/atom: -551
Symmetry: P2_1/m

=====

9.
Computed, not measured: NaDyPb after structural relaxation at the GGA-PBE level of DFT.

Lattice parameters (Å, degrees): 5.181 5.181 5.181 60.00 60.00 60.00
Atoms (fractional coordinates):
Na: 0.000 0.000 0.000
Dy: 0.500 0.500 0.500
Pb: 0.750 0.750 0.750

Energy of formation in meV/atom: -178
Symmetry: F-43m

=====

10.
Computed, not measured: ScSbMo after structural relaxation at the GGA-PBE level of DFT.

Lattice parameters (Å, degrees): 4.756 4.756 3.056 90.00 90.00 120.00
Atoms (fractional coordinates):
Sc: 0.000 0.000 0.000
Sb: 0.333 0.667 0.500
Mo: 0.667 0.333 0.500

Offset from the most stable computed form in eV/atom: 0.223
Fermi-level density of states in states/eV/cell: 2.71
Formation energy from raw total energies in eV/atom: -0.051
Symmetry: P-6m2

=====

11.
Computed, not measured: Li2HgPt after structural relaxation at the GGA-PBE level of DFT.

Lattice parameters (Å, degrees): 3.289 3.289 5.963 90.00 90.00 90.00
Atoms (fractional coordinates):
Li: 0.000 0.000 0.000
Li: 0.500 0.500 0.255
Hg: 0.500 0.500 0.746
Pt: 0.000 0.000 0.445

Fermi-level density of states in states/eV/cell: 1.55
Energy of formation in meV/atom: -312
Symmetry: P4mm

=====

12.
Computed, not measured: Ce2Dy3ThTe6 after structural relaxation at the GGA-PBE level of DFT.

Lattice parameters (Å, degrees): 9.989 9.989 8.983 105.82 105.82 25.13
Atoms (fractional coordinates):
Ce: 0.165 0.165 0.328
Ce: 0.835 0.835 0.672
Dy: 0.166 0.166 0.832
Dy: 0.500 0.500 0.500
Dy: 0.834 0.834 0.168
Th: 0.500 0.500 0.000
Te: 0.003 0.003 0.743
Te: 0.330 0.330 0.925
Te: 0.335 0.335 0.412
Te: 0.665 0.665 0.588
Te: 0.670 0.670 0.075
Te: 0.997 0.997 0.257

Fermi-level density of states in states/eV/cell: 17.83
Formation energy from raw total energies in eV/atom: -1.268
Symmetry: C2/m

=====

Total DFT energy (no corrections) (computed, eV/atom): -8.30; -8.28; -4.49; -4.71; -6.57; -5.86; -1.16; -8.77; -3.39; -7.15; -2.85; -5.60